1.
Density functional theory data (PBE) for Pr2PuOs2 after structural relaxation.

Cell: 5.864 5.864 8.119 Å, 80.73 80.73 62.04°
Site moments in Bohr magnetons follow the coordinates.
Atoms (fractional coordinates):
Pr 0.480 0.220 0.150  0.07
Pr 0.780 0.520 0.350  0.07
Pr 0.520 0.780 0.850  0.07
Pr 0.220 0.480 0.650  0.07
Pu 0.119 0.881 0.250  4.66
Pu 0.881 0.119 0.750  4.66
Os 0.727 0.000 0.509  -0.35
Os 0.000 0.273 0.991  -0.35
Os 0.273 0.000 0.491  -0.35
Os 0.000 0.727 0.009  -0.35

- N(E_F) (states/eV per atom) = 1.499
- crystal system = monoclinic
- energy of formation from the pure elements (meV per atom) = -90
- space-group type = C2/c
- total moment (μB/f.u.) = 4.42

***

2.
Density functional theory data (PBE) for Tm3Zr2Sc4 after structural relaxation.

Cell: 5.785 9.142 9.142 Å, 81.59 86.40 86.40°
Atoms (fractional coordinates):
Tm 0.959 0.871 0.296
Tm 0.541 0.704 0.129
Tm 0.041 0.129 0.704
Tm 0.459 0.296 0.871
Tm 0.250 0.555 0.445
Tm 0.750 0.445 0.555
Zr 0.647 0.111 0.492
Zr 0.853 0.508 0.889
Zr 0.353 0.889 0.508
Zr 0.147 0.492 0.111
Sc 0.476 0.046 0.172
Sc 0.024 0.828 0.954
Sc 0.524 0.954 0.828
Sc 0.976 0.172 0.046
Sc 0.141 0.214 0.360
Sc 0.359 0.640 0.786
Sc 0.859 0.786 0.640
Sc 0.641 0.360 0.214

- N(E_F) (states/eV per atom) = 1.408
- crystal system = monoclinic
- energy of formation from the pure elements (meV per atom) = 105
- space-group type = C2/c
- total moment (μB/f.u.) = 0.00
- polymorph energy (0 for the lowest one) (eV/f.u.) = 0.06

***

3.
Density functional theory data (PBE) for NbAlW after structural relaxation.

Cell: 4.486 4.486 6.801 Å, 70.74 70.74 60.00°
Atoms (fractional coordinates):
Nb 0.573 0.573 0.282
Nb 0.427 0.427 0.718
W 0.293 0.293 0.121
W 0.707 0.707 0.879
Al 0.856 0.856 0.432
Al 0.144 0.144 0.568

- N(E_F) (states/eV per atom) = 1.109
- crystal system = trigonal
- energy of formation from the pure elements (meV per atom) = 457
- space-group type = R-3m
- total moment (μB/f.u.) = 0.00
- polymorph energy (0 for the lowest one) (eV/f.u.) = 0.00

***

> Which value of energy of formation from the pure elements does entry 3 give?

457 meV per atom